[1]
Crystalline TlAsPd5 at its relaxed geometry, computed with PBE-GGA.

```
data_TlAsPd5
_chemical_formula_sum 'Tl1 As1 Pd5'
_cell_length_a 4.073
_cell_length_b 4.073
_cell_length_c 7.162
_cell_angle_alpha 90.00
_cell_angle_beta 90.00
_cell_angle_gamma 90.00
_symmetry_space_group_name_H-M 'P 4/m m m'
_symmetry_Int_Tables_number 123
_symmetry_space_group_name_Hall '-P 4 2'
loop_
_atom_site_label
_atom_site_type_symbol
_atom_site_fract_x
_atom_site_fract_y
_atom_site_fract_z
_atom_site_occupancy
Tl1 Tl 0.000 0.000 0.000 1
As1 As 0.500 0.500 0.500 1
Pd1 Pd 0.000 0.500 0.293 1
Pd2 Pd 0.500 0.500 0.000 1
```

- Crystal system: tetragonal
- Energy of formation: -0.35 eV/atom
- Size of the total moment: 0.00 μB per cell
- Calculated volume: 16.977 A^3/atom
- Raw total energy: -5.0579 eV/atom



[2]
Crystalline TlAsPd6 at its relaxed geometry, computed with PBE-GGA.

```
data_TlAsPd6
_chemical_formula_sum 'Tl3 As3 Pd18'
_cell_length_a 4.5484
_cell_length_b 4.5484
_cell_length_c 21.8859
_cell_angle_alpha 90.00
_cell_angle_beta 90.00
_cell_angle_gamma 120.00
_symmetry_space_group_name_H-M 'R -3 m'
_symmetry_Int_Tables_number 166
_symmetry_space_group_name_Hall '-R 3 2"'
loop_
_atom_site_label
_atom_site_type_symbol
_atom_site_fract_x
_atom_site_fract_y
_atom_site_fract_z
_atom_site_occupancy
Tl1 Tl 0.0000 0.0000 0.0000 1
As1 As 0.0000 0.0000 0.5000 1
Pd1 Pd 0.0000 0.0000 0.1336 1
Pd2 Pd 0.0000 0.0000 0.2588 1
Pd3 Pd 0.0000 0.0000 0.3874 1
```

- Crystal system: trigonal
- Energy of formation: -0.20 eV/atom
- Distance to the lowest polymorph of the same formula: 21.5 meV/atom
- Size of the total moment: 0.00 μB per cell
- Calculated volume: 16.338 A^3/atom
- Raw total energy: -4.9697 eV/atom



[3]
Crystalline TlAsPd14 at its relaxed geometry, computed with PBE-GGA.

```
data_TlAsPd14
_chemical_formula_sum 'Tl2 As2 Pd28'
_cell_length_a 8.296
_cell_length_b 8.326
_cell_length_c 7.341
_cell_angle_alpha 90.00
_cell_angle_beta 90.00
_cell_angle_gamma 90.00
_symmetry_space_group_name_H-M 'C m m m'
_symmetry_Int_Tables_number 65
_symmetry_space_group_name_Hall '-C 2 2'
loop_
_atom_site_label
_atom_site_type_symbol
_atom_site_fract_x
_atom_site_fract_y
_atom_site_fract_z
_atom_site_occupancy
Tl1 Tl 0.000 0.000 0.000 1
As1 As 0.000 0.500 0.000 1
Pd1 Pd 0.000 0.000 0.500 1
Pd2 Pd 0.000 0.257 0.247 1
Pd3 Pd 0.000 0.500 0.500 1
Pd4 Pd 0.242 0.500 0.247 1
Pd5 Pd 0.250 0.250 0.000 1
Pd6 Pd 0.250 0.250 0.500 1
```

- Crystal system: orthorhombic
- Energy of formation: -0.10 eV/atom
- Size of the total moment: 0.00 μB per cell
- Calculated volume: 15.846 A^3/atom
- Raw total energy: -5.0785 eV/atom



[4]
Crystalline Tl2As7Pd12 at its relaxed geometry, computed with PBE-GGA.

```
data_Tl2As7Pd12
_chemical_formula_sum 'Tl2 As7 Pd12'
_cell_length_a 10.3940
_cell_length_b 10.3940
_cell_length_c 4.0035
_cell_angle_alpha 90.00
_cell_angle_beta 90.00
_cell_angle_gamma 120.00
_symmetry_space_group_name_H-M 'P -3'
_symmetry_Int_Tables_number 147
loop_
_symmetry_equiv_pos_as_xyz
'x,y,z'
'-x,-y,-z'
'-y,x-y,z'
'y,-x+y,-z'
'-x+y,-x,z'
'x-y,x,-z'
loop_
_atom_site_label
_atom_site_type_symbol
_atom_site_fract_x
_atom_site_fract_y
_atom_site_fract_z
_atom_site_occupancy
Tl1 Tl 0.3333 0.6667 0.2484 1
As1 As 0.0000 0.0000 0.5000 1
As2 As 0.1084 0.4024 0.7485 1
Pd1 Pd 0.0620 0.6239 0.7485 1
Pd2 Pd 0.1139 0.8620 0.2392 1
```

- Crystal system: trigonal
- Energy of formation: -0.32 eV/atom
- Size of the total moment: 0.00 μB per cell
- Calculated volume: 17.837 A^3/atom
- Raw total energy: -5.0610 eV/atom